H3AuO | Alexandria via LeMat-Bulk | PBE | optimized geometry; excess energy over the best structure of this formula in the dataset = 0.000 eV per formula unit; M_tot = 0.31 μB per atom; space-group type = Pm-3m
1.0
3.5486 0.0000 0.0000
0.0000 3.5486 0.0000
0.0000 0.0000 3.5486
H Au O
3 1 1
Direct
0.0000 0.0000 0.5000
0.0000 0.5000 0.0000
0.5000 0.0000 0.0000
0.0000 0.0000 0.0000
0.5000 0.5000 0.5000

Rb2Na | Alexandria via LeMat-Bulk | PBE | optimized geometry; excess energy over the best structure of this formula in the dataset = 0.026 eV per formula unit; M_tot = 0.00 μB per atom; ΔH_f (0 K) = 0.0277 eV per atom; space-group type = C2/m
1.0
3.5394 -3.5352 0.0000
3.5394 3.5352 0.0000
-3.4966 0.0000 8.5199
Rb Na
2 1
Direct
0.1449 0.1449 0.2902
0.8551 0.8551 0.7098
0.5000 0.5000 0.0000

La2FeRu | Alexandria via LeMat-Bulk | PBE | optimized geometry; M_tot = 0.51 μB per atom; ΔH_f (0 K) = 0.3412 eV per atom; space-group type = I-42d
1.0
-3.8490 3.8490 3.1778
3.8490 -3.8490 3.1778
3.8490 3.8490 -3.1778
La Fe Ru
4 2 2
Direct
0.1045 0.6250 0.9795
0.3750 0.3545 0.4795
0.6455 0.1250 0.0205
0.8750 0.8955 0.5205
0.2500 0.7500 0.5000
0.5000 0.5000 0.0000
0.0000 0.0000 0.0000
0.7500 0.2500 0.5000

NdSmZr2 | Alexandria via LeMat-Bulk | PBE | optimized geometry; excess energy over the best structure of this formula in the dataset = 0.013 eV per formula unit; M_tot = 0.00 μB per atom; ΔH_f (0 K) = 0.1952 eV per atom; space-group type = R-3m
1.0
1.6960 0.9792 11.0837
-1.6960 0.9792 11.0837
0.0000 -1.9583 11.0837
Nd Sm Zr
1 1 2
Direct
0.0000 0.0000 0.0000
0.5000 0.5000 0.5000
0.2496 0.2496 0.2496
0.7504 0.7504 0.7504